The following is a DFT calculation (PBE) of crystalline Pr8Nd3 at its relaxed geometry.

Cell: 6.4432 6.4432 13.3655 Å, 103.80 103.80 47.84°
Closest atoms and distances in Å follow each position.
Fractional positions:
Pr  0.0454  0.0454  0.3182  4 Nd 3.70, 8 Pr 3.71-3.72
Pr  0.1364  0.1364  0.9546  5 Nd 3.70-3.72, 7 Pr 3.70-3.72
Pr  0.2275  0.2275  0.5910  8 Pr 3.70-3.72, 4 Nd 3.71-3.72
Pr  0.3180  0.3180  0.2273  8 Pr 3.70-3.72, 4 Nd 3.71-3.72
Pr  0.6820  0.6820  0.7727  8 Pr 3.70-3.72, 4 Nd 3.71-3.72
Pr  0.7725  0.7725  0.4090  8 Pr 3.70-3.72, 4 Nd 3.71-3.72
Pr  0.8636  0.8636  0.0454  5 Nd 3.70-3.72, 7 Pr 3.70-3.72
Pr  0.9546  0.9546  0.6818  4 Nd 3.70, 8 Pr 3.71-3.72
Nd  0.4094  0.4094  0.8640  11 Pr 3.70-3.72, 1 Nd 3.71
Nd  0.5000  0.5000  0.5000  12 Pr 3.70-3.72
Nd  0.5906  0.5906  0.1360  11 Pr 3.70-3.72, 1 Nd 3.71

* calculated formation energy: 12 meV/atom
* space-group type: No. 12
* energy relative to the lowest polymorph listed for this composition: 0 meV per atom
* VASP energy: -4.76 eV/atom


The following is a DFT calculation (PBE) of crystalline Al3GaCo4 at its relaxed geometry.

Cell: 2.8651 4.0381 8.0776 Å, 90.00 90.00 90.00°
Closest atoms and distances in Å follow each position.
Fractional positions:
Al  0.0000  0.0000  0.0000  8 Co 2.47-2.48
Al  0.0000  0.5000  0.2479  8 Co 2.46-2.49
Al  0.0000  0.5000  0.7521  8 Co 2.46-2.49
Ga  0.0000  0.0000  0.5000  8 Co 2.48
Co  0.5000  0.0000  0.2495  6 Al 2.47-2.48, 2 Ga 2.48
Co  0.5000  0.0000  0.7505  6 Al 2.47-2.48, 2 Ga 2.48
Co  0.5000  0.5000  0.0000  8 Al 2.46-2.48
Co  0.5000  0.5000  0.5000  4 Ga 2.48, 4 Al 2.49

* calculated formation energy: -526 meV/atom
* space-group type: No. 47
* VASP energy: -5.86 eV/atom


The following is a DFT calculation (PBE) of crystalline MgGaOF2 at its relaxed geometry.

Cell: 3.7583 3.7583 4.3483 Å, 90.00 90.00 90.00°
Closest atoms and distances in Å follow each position.
Fractional positions:
Mg  0.0000  0.0000  0.0000  4 F 1.88
Ga  0.5000  0.5000  0.5000  4 O 2.66, 8 F 2.87
O  0.0000  0.0000  0.5000  2 Mg 2.17
F  0.0000  0.5000  0.0000  2 Mg 1.88
F  0.5000  0.0000  0.0000  2 Mg 1.88

* space-group type: No. 123
* energy relative to the lowest polymorph listed for this composition: 0 meV per atom
* formation energy without anion corrections: -2.090 eV/atom
* VASP energy: -4.75 eV/atom


The following is a DFT calculation (PBE) of crystalline Tb5Ho3Cd2 at its relaxed geometry.

Cell: 10.3486 10.3486 10.3486 Å, 100.68 91.08 142.73°
Closest atoms and distances in Å follow each position.
Fractional positions:
Tb  0.1727  0.1002  0.2729  1 Cd 2.83
Tb  0.2500  0.0095  0.7595  2 Cd 3.07, 3 Tb 3.18-3.31, 1 Ho 3.43
Tb  0.2500  0.2500  0.0000  8 Tb 3.18-3.31
Tb  0.2500  0.4905  0.2405  2 Cd 3.07, 3 Tb 3.18-3.31, 1 Ho 3.43
Tb  0.3273  0.6002  0.9275  1 Cd 2.83
Tb  0.6727  0.3998  0.0725  1 Cd 2.83
Tb  0.7500  0.5095  0.7595  2 Cd 3.07, 3 Tb 3.18-3.31, 1 Ho 3.43
Tb  0.7500  0.7500  0.0000  8 Tb 3.18-3.31
Tb  0.7500  0.9905  0.2405  2 Cd 3.07, 3 Tb 3.18-3.31, 1 Ho 3.43
Tb  0.8273  0.8998  0.7271  1 Cd 2.83
Ho  0.2169  0.3626  0.5795  4 Cd 3.52-3.76, 6 Tb 3.52-3.90
Ho  0.2500  0.7500  0.5000  4 Cd 3.07, 2 Ho 3.31, 2 Tb 3.43
Ho  0.2831  0.8626  0.1458  4 Cd 3.52-3.76, 6 Tb 3.52-3.90
Ho  0.7169  0.1374  0.8542  4 Cd 3.52-3.76, 6 Tb 3.52-3.90
Ho  0.7500  0.2500  0.5000  4 Cd 3.07, 2 Ho 3.31, 2 Tb 3.43
Ho  0.7831  0.6374  0.4205  4 Cd 3.52-3.76, 6 Tb 3.52-3.90
Cd  0.1339  0.6300  0.7639  3 Tb 2.83-3.07, 2 Ho 3.07
Cd  0.3661  0.1300  0.4961  3 Tb 2.83-3.07, 2 Ho 3.07
Cd  0.6339  0.8700  0.5039  3 Tb 2.83-3.07, 2 Ho 3.07
Cd  0.8661  0.3700  0.2361  3 Tb 2.83-3.07, 2 Ho 3.07

* calculated formation energy: 187 meV/atom
* space-group type: No. 72
* VASP energy: -3.68 eV/atom


The following is a DFT calculation (PBE) of crystalline Ac3MgSn6 at its relaxed geometry.

Cell: 8.6453 8.6453 8.6453 Å, 97.83 97.83 97.83°
Closest atoms and distances in Å follow each position.
Fractional positions:
Ac  0.1841  0.7500  0.3159  8 Sn 3.39-3.69
Ac  0.2500  0.6841  0.8159  8 Sn 3.39-3.69
Ac  0.3159  0.1841  0.7500  8 Sn 3.39-3.69
Ac  0.6841  0.8159  0.2500  8 Sn 3.39-3.69
Ac  0.7500  0.3159  0.1841  8 Sn 3.39-3.69
Ac  0.8159  0.2500  0.6841  8 Sn 3.39-3.69
Mg  0.0000  0.0000  0.0000  6 Sn 3.10
Mg  0.5000  0.5000  0.5000  6 Sn 3.10
Sn  0.0160  0.0879  0.3623  2 Sn 2.86-3.02, 1 Mg 3.10
Sn  0.0879  0.3623  0.0160  2 Sn 2.86-3.02, 1 Mg 3.10
Sn  0.1377  0.4121  0.4840  2 Sn 2.86-3.02, 1 Mg 3.10
Sn  0.3623  0.0160  0.0879  2 Sn 2.86-3.02, 1 Mg 3.10
Sn  0.4121  0.4840  0.1377  2 Sn 2.86-3.02, 1 Mg 3.10
Sn  0.4840  0.1377  0.4121  2 Sn 2.86-3.02, 1 Mg 3.10
Sn  0.5160  0.8623  0.5879  2 Sn 2.86-3.02, 1 Mg 3.10
Sn  0.5879  0.5160  0.8623  2 Sn 2.86-3.02, 1 Mg 3.10
Sn  0.6377  0.9840  0.9121  2 Sn 2.86-3.02, 1 Mg 3.10
Sn  0.8623  0.5879  0.5160  2 Sn 2.86-3.02, 1 Mg 3.10
Sn  0.9121  0.6377  0.9840  2 Sn 2.86-3.02, 1 Mg 3.10
Sn  0.9840  0.9121  0.6377  2 Sn 2.86-3.02, 1 Mg 3.10

* calculated formation energy: -538 meV/atom
* space-group type: No. 167
* VASP energy: -4.33 eV/atom


The following is a DFT calculation (PBE) of crystalline NpRu5 at its relaxed geometry.

Cell: 6.2481 6.2481 3.9261 Å, 90.00 90.00 143.35°
Closest atoms and distances in Å follow each position.
Fractional positions:
Np  0.0000  0.0000  0.0000  12 Ru 2.78-2.86
Ru  0.1718  0.8282  0.5000  10 Ru 2.67-2.83, 2 Np 2.83
Ru  0.3246  0.6754  0.0000  10 Ru 2.64-2.86, 2 Np 2.86
Ru  0.5000  0.5000  0.5000  4 Np 2.78, 8 Ru 2.83-2.86
Ru  0.6754  0.3246  0.0000  10 Ru 2.64-2.86, 2 Np 2.86
Ru  0.8282  0.1718  0.5000  10 Ru 2.67-2.83, 2 Np 2.83

* calculated formation energy: 54 meV/atom
* space-group type: No. 65
* VASP energy: -9.83 eV/atom


Number 1: spin magnetization 0.0 Bohr magnetons per cell. Number 2: spin magnetization 0.0 Bohr magnetons per cell. Number 3: spin magnetization 0.0 Bohr magnetons per cell. Number 4: spin magnetization 0.0 Bohr magnetons per cell. Number 5: spin magnetization 0.0 Bohr magnetons per cell. Number 6: spin magnetization 0.8 Bohr magnetons per cell.